CsAlPS2 | PBE | optimized geometry Values from VASP.

Calculated values
Excess energy over the best structure of this formula in the dataset ... 8.21 eV per formula unit
Symmetry ... P4/mmm, No. 123

Cell and atoms, written as Quantum ESPRESSO input:
```
&SYSTEM
  ibrav = 0, nat = 5, ntyp = 4
/
ATOMIC_SPECIES
Cs 132.91 Cs.upf
Al 26.98 Al.upf
P 30.97 P.upf
S 32.06 S.upf
CELL_PARAMETERS angstrom
-4.8938 -1.8870 -2.0915
2.5687 -1.2686 -4.8659
1.1989 -5.3594 2.0301
ATOMIC_POSITIONS crystal
Cs 0.0000 0.0000 0.0000
Al 0.5000 0.5000 0.5000
P 0.0000 0.0000 0.5000
S 0.5000 0.0000 0.0000
S 0.0000 0.5000 0.0000
```

***

CsAlPS2 | PBE | optimized geometry Values from VASP.

Calculated values
Excess energy over the best structure of this formula in the dataset ... 0.00 eV per formula unit
Symmetry ... P4/mmm, No. 123

Cell and atoms, written as Quantum ESPRESSO input:
```
&SYSTEM
  ibrav = 0, nat = 5, ntyp = 4
/
ATOMIC_SPECIES
S 32.06 S.upf
P 30.97 P.upf
Al 26.98 Al.upf
Cs 132.91 Cs.upf
CELL_PARAMETERS angstrom
4.9477 0.0000 0.0000
0.0000 4.9477 0.0000
0.0000 0.0000 4.8607
ATOMIC_POSITIONS crystal
S 0.5000 0.0000 0.0000
P 0.0000 0.0000 0.5000
Al 0.0000 0.0000 0.0000
Cs 0.5000 0.5000 0.5000
S 0.0000 0.5000 0.0000
```

***

CsAlP2Se8 | PBE | optimized geometry Values from VASP.

Calculated values
E_tot ... -3.884 eV/atom
Symmetry ... P-3, No. 147

Cell and atoms, written as Quantum ESPRESSO input:
```
&SYSTEM
  ibrav = 0, nat = 12, ntyp = 4
/
ATOMIC_SPECIES
Se 78.96 Se.upf
Cs 132.91 Cs.upf
P 30.97 P.upf
Al 26.98 Al.upf
CELL_PARAMETERS angstrom
-3.4567 1.4604 -4.6700
-2.4352 -2.5292 4.8543
-1.7659 10.5279 4.5994
ATOMIC_POSITIONS crystal
Se 0.3434 0.0361 0.6440
Cs 0.0000 0.0000 0.0000
Se 0.6927 0.6566 0.6440
Se 0.3333 0.6667 0.8905
Se 0.9639 0.3073 0.6440
P 0.6667 0.3333 0.2941
Se 0.3073 0.3434 0.3560
P 0.3333 0.6667 0.7059
Se 0.6566 0.9639 0.3560
Se 0.6667 0.3333 0.1095
Al 0.0000 0.0000 0.5000
Se 0.0361 0.6927 0.3560
```

***

CsAlZnP2 | PBE | optimized geometry Values from VASP.

Calculated values
E_tot ... -1.647 eV/atom
Symmetry ... P4/mmm, No. 123

Cell and atoms, written as Quantum ESPRESSO input:
```
&SYSTEM
  ibrav = 0, nat = 5, ntyp = 4
/
ATOMIC_SPECIES
Zn 65.41 Zn.upf
Cs 132.91 Cs.upf
Al 26.98 Al.upf
P 30.97 P.upf
CELL_PARAMETERS angstrom
5.7603 0.0000 0.0000
0.0000 6.1657 0.0000
0.0000 0.0000 5.7603
ATOMIC_POSITIONS crystal
Zn 0.0000 0.5000 0.0000
Cs 0.0000 0.0000 0.0000
Al 0.5000 0.5000 0.5000
P 0.5000 0.0000 0.0000
P 0.0000 0.0000 0.5000
```

***

Cs2PaAlS4 | PBE | optimized geometry Values from VASP.

Calculated values
E_tot ... -5.091 eV/atom
Symmetry ... Fddd, No. 70

Cell and atoms, written as Quantum ESPRESSO input:
```
&SYSTEM
  ibrav = 0, nat = 16, ntyp = 4
/
ATOMIC_SPECIES
S 32.06 S.upf
Pa 231.04 Pa.upf
Cs 132.91 Cs.upf
Al 26.98 Al.upf
CELL_PARAMETERS angstrom
-5.4950 3.3672 -0.7498
-6.2453 -4.4728 -2.3879
-5.8662 -0.6262 12.1084
ATOMIC_POSITIONS crystal
S 0.3327 0.8155 0.0959
S 0.1786 0.3155 0.4041
Pa 0.7500 0.5000 0.5000
S 0.5714 0.1845 0.0959
S 0.2441 0.1845 0.9041
S 0.8983 0.6845 0.5959
S 0.5059 0.3155 0.5959
Pa 0.0000 0.0000 0.0000
Cs 0.5725 0.5000 0.8549
Cs 0.8225 0.0000 0.3549
Al 0.2500 0.5000 0.5000
Cs 0.1775 0.0000 0.6451
S 0.8517 0.8155 0.9041
S 0.4173 0.6845 0.4041
Cs 0.9275 0.5000 0.1451
Al 0.5000 0.0000 0.0000
```

***

CsPaAlS4 | PBE | optimized geometry Values from VASP.

Calculated values
E_tot ... -5.775 eV/atom
Symmetry ... P2_1/m, No. 11

Cell and atoms, written as Quantum ESPRESSO input:
```
&SYSTEM
  ibrav = 0, nat = 14, ntyp = 4
/
ATOMIC_SPECIES
Al 26.98 Al.upf
Cs 132.91 Cs.upf
Pa 231.04 Pa.upf
S 32.06 S.upf
CELL_PARAMETERS angstrom
6.5313 0.0000 -0.1934
0.0000 6.7262 0.0000
-2.8149 0.0000 9.1730
ATOMIC_POSITIONS crystal
Al 0.2297 0.7500 0.3423
Al 0.7703 0.2500 0.6577
Cs 0.7346 0.7500 0.9411
Pa 0.2241 0.2500 0.5475
S 0.4523 0.7500 0.5748
S 0.9908 0.4961 0.3110
S 0.0092 0.9961 0.6890
Pa 0.7759 0.7500 0.4525
S 0.5677 0.2500 0.8051
Cs 0.2654 0.2500 0.0589
S 0.9908 0.0039 0.3110
S 0.4323 0.7500 0.1949
S 0.5477 0.2500 0.4252
S 0.0092 0.5039 0.6890
```

***

Cs2PaAlTe4 | PBE | optimized geometry Values from VASP.

Calculated values
E_tot ... -4.137 eV/atom
Symmetry ... I-42m, No. 121

Cell and atoms, written as Quantum ESPRESSO input:
```
&SYSTEM
  ibrav = 0, nat = 8, ntyp = 4
/
ATOMIC_SPECIES
Al 26.98 Al.upf
Cs 132.91 Cs.upf
Te 127.60 Te.upf
Pa 231.04 Pa.upf
CELL_PARAMETERS angstrom
-6.0893 4.5949 0.8380
-4.6524 1.3260 -5.9369
-6.7441 -2.9213 2.1525
ATOMIC_POSITIONS crystal
Al 0.5000 0.0000 0.0000
Cs 0.0000 0.5000 0.5000
Te 0.4468 0.6778 0.0000
Cs 0.5000 0.5000 0.5000
Te 0.5532 0.0000 0.3222
Te 0.8754 0.0000 0.6778
Pa 0.0000 0.0000 0.0000
Te 0.1246 0.3222 0.0000
```

***

CsAlPb2 | PBE | optimized geometry Values from VASP.

Calculated values
E_tot ... -3.033 eV/atom
Symmetry ... C2/m, No. 12

Cell and atoms, written as Quantum ESPRESSO input:
```
&SYSTEM
  ibrav = 0, nat = 16, ntyp = 3
/
ATOMIC_SPECIES
Pb 207.20 Pb.upf
Cs 132.91 Cs.upf
Al 26.98 Al.upf
CELL_PARAMETERS angstrom
-0.9955 7.2438 -1.8487
-3.2544 -1.1080 -2.5892
-11.6968 0.3556 14.5496
ATOMIC_POSITIONS crystal
Pb 0.1936 0.0000 0.2873
Pb 0.8064 0.0000 0.7127
Pb 0.3373 0.0000 0.9222
Pb 0.8064 0.5000 0.2127
Cs 0.8108 0.0000 0.4099
Cs 0.1892 0.5000 0.0901
Pb 0.6627 0.5000 0.5778
Cs 0.1892 0.0000 0.5901
Al 0.5169 0.0000 0.2087
Pb 0.1936 0.5000 0.7873
Al 0.4831 0.5000 0.2913
Cs 0.8108 0.5000 0.9099
Al 0.4831 0.0000 0.7913
Pb 0.6627 0.0000 0.0778
Al 0.5169 0.5000 0.7087
Pb 0.3373 0.5000 0.4222
```

***

CsAlPb2 | PBE | optimized geometry Values from VASP.

Calculated values
E_tot ... -3.041 eV/atom
Symmetry ... P1, No. 1

Cell and atoms, written as Quantum ESPRESSO input:
```
&SYSTEM
  ibrav = 0, nat = 8, ntyp = 3
/
ATOMIC_SPECIES
Pb 207.20 Pb.upf
Cs 132.91 Cs.upf
Al 26.98 Al.upf
CELL_PARAMETERS angstrom
-1.9313 4.1521 -2.0059
-0.2025 -5.7408 -5.9385
-7.4264 -1.0175 5.5520
ATOMIC_POSITIONS crystal
Pb 0.8236 0.1513 0.4698
Cs 0.5104 0.5177 0.4277
Al 0.0068 0.0383 0.1658
Cs 0.3656 0.1979 0.8459
Pb 0.0568 0.6285 0.0472
Pb 0.1829 0.8772 0.4134
Pb 0.6310 0.7742 0.8944
Al 0.4796 0.9944 0.1735
```

***

CsAl3Pb | PBE | optimized geometry Values from VASP.

Calculated values
Excess energy over the best structure of this formula in the dataset ... 0.00 eV per formula unit
Symmetry ... Pm-3m, No. 221

Cell and atoms, written as Quantum ESPRESSO input:
```
&SYSTEM
  ibrav = 0, nat = 5, ntyp = 3
/
ATOMIC_SPECIES
Al 26.98 Al.upf
Cs 132.91 Cs.upf
Pb 207.20 Pb.upf
CELL_PARAMETERS angstrom
5.7675 0.0000 0.0000
0.0000 5.7675 0.0000
0.0000 0.0000 5.7675
ATOMIC_POSITIONS crystal
Al 0.0000 0.5000 0.0000
Al 0.0000 0.0000 0.5000
Al 0.5000 0.0000 0.0000
Cs 0.5000 0.5000 0.5000
Pb 0.0000 0.0000 0.0000
```

***

CsAlPb2 | PBE | optimized geometry Values from VASP.

Calculated values
E_tot ... -2.984 eV/atom
Symmetry ... R-3m, No. 166

Cell and atoms, written as Quantum ESPRESSO input:
```
&SYSTEM
  ibrav = 0, nat = 4, ntyp = 3
/
ATOMIC_SPECIES
Pb 207.20 Pb.upf
Cs 132.91 Cs.upf
Al 26.98 Al.upf
CELL_PARAMETERS angstrom
4.7995 0.0000 0.0000
2.3998 4.1565 0.0000
2.3998 1.3855 7.6890
ATOMIC_POSITIONS crystal
Pb 0.2863 0.2863 0.1411
Cs 0.5000 0.5000 0.5000
Al 0.0000 0.0000 0.0000
Pb 0.7137 0.7137 0.8589
```

***

CsAlPb2 | PBE | optimized geometry Values from VASP.

Calculated values
E_tot ... -3.016 eV/atom
Symmetry ... P1, No. 1

Cell and atoms, written as Quantum ESPRESSO input:
```
&SYSTEM
  ibrav = 0, nat = 8, ntyp = 3
/
ATOMIC_SPECIES
Al 26.98 Al.upf
Pb 207.20 Pb.upf
Cs 132.91 Cs.upf
CELL_PARAMETERS angstrom
4.9607 -0.0713 -0.0067
-0.1440 6.6598 -0.0015
0.0079 -2.0270 9.5115
ATOMIC_POSITIONS crystal
Al 0.9660 0.6675 0.1489
Pb 0.9891 0.7407 0.8686
Cs 0.4783 0.4847 0.4161
Pb 0.9408 0.1725 0.1025
Al 0.4704 0.9283 0.1897
Pb 0.4678 0.5164 0.9963
Pb 0.9998 0.9899 0.3843
Cs 0.5067 0.0622 0.7141
```